VASP calculation (GGA-PBE) on an optimized crystal structure of Mg2ZrZn2.

Properties
relative energy among the computed polymorphs	12	kJ/mol of formula units
E	-2.884	eV per atom
volume	19.172	Å³/atom
magnetic moment	0.0	μB/cell

a b c (Å): 6.563 6.563 6.563
angles (deg): 144.28 144.28 51.42
Fractional positions:
Mg1 0.250 0.750 0.500
Mg2 0.750 0.250 0.500
Zr1 0.000 0.000 0.000
Zn1 0.402 0.402 0.000
Zn2 0.598 0.598 0.000



VASP calculation (GGA-PBE) on an optimized crystal structure of Mg2ZrZn2.

Properties
relative energy among the computed polymorphs	10	kJ/mol of formula units
E	-2.888	eV per atom
volume	18.359	Å³/atom
magnetic moment	0.0	μB/cell

a b c (Å): 8.059 8.059 2.826
angles (deg): 90.00 90.00 90.00
Fractional positions:
Mg1 0.127 0.373 0.000
Mg2 0.373 0.873 0.000
Mg3 0.627 0.127 0.000
Mg4 0.873 0.627 0.000
Zr1 0.000 0.000 0.000
Zr2 0.500 0.500 0.000
Zn1 0.173 0.673 0.500
Zn2 0.327 0.173 0.500
Zn3 0.673 0.827 0.500
Zn4 0.827 0.327 0.500



VASP calculation (GGA-PBE) on an optimized crystal structure of Mg2ZrZn.

Properties
E	-3.332	eV per atom
volume	19.905	Å³/atom
magnetic moment	0.0	μB/cell

a b c (Å): 4.062 4.324 4.533
angles (deg): 90.00 90.00 90.00
Fractional positions:
Mg1 0.000 0.000 0.000
Mg2 0.500 0.500 0.000
Zr1 0.000 0.500 0.500
Zn1 0.500 0.000 0.500



VASP calculation (GGA-PBE) on an optimized crystal structure of MgZr2Zn6.

Properties
relative energy among the computed polymorphs	59	kJ/mol of formula units
E	-3.089	eV per atom
volume	17.086	Å³/atom
magnetic moment	0.0	μB/cell

a b c (Å): 5.554 5.554 5.759
angles (deg): 90.05 90.05 59.94
Fractional positions:
Mg1 0.000 0.000 0.000
Zr1 0.333 0.333 0.873
Zr2 0.667 0.667 0.127
Zn1 0.180 0.180 0.337
Zn2 0.180 0.641 0.337
Zn3 0.359 0.820 0.663
Zn4 0.641 0.180 0.337
Zn5 0.820 0.359 0.663
Zn6 0.820 0.820 0.663



VASP calculation (GGA-PBE) on an optimized crystal structure of Mg6ZrZn.

Properties
relative energy among the computed polymorphs	6	kJ/mol of formula units
E	-2.395	eV per atom
volume	21.341	Å³/atom
magnetic moment	0.0	μB/cell

a b c (Å): 4.935 6.449 6.449
angles (deg): 56.28 90.00 90.00
Fractional positions:
Mg1 0.000 0.000 0.000
Mg2 0.000 0.480 0.480
Mg3 0.000 0.503 0.991
Mg4 0.000 0.991 0.503
Mg5 0.500 0.345 0.842
Mg6 0.500 0.842 0.345
Zr1 0.500 0.846 0.846
Zn1 0.500 0.329 0.329



VASP calculation (GGA-PBE) on an optimized crystal structure of Mg3Zr12Zn.

Properties
E	-6.805	eV per atom
volume	21.997	Å³/atom
magnetic moment	0.0	μB/cell

a b c (Å): 4.446 4.446 17.808
angles (deg): 90.00 90.00 90.00
Fractional positions:
Mg1 0.000 0.000 0.000
Mg2 0.000 0.000 0.253
Mg3 0.000 0.000 0.747
Zr1 0.000 0.500 0.127
Zr2 0.000 0.500 0.380
Zr3 0.000 0.500 0.620
Zr4 0.000 0.500 0.873
Zr5 0.500 0.000 0.127
Zr6 0.500 0.000 0.380
Zr7 0.500 0.000 0.620
Zr8 0.500 0.000 0.873
Zr9 0.500 0.500 0.000
Zr10 0.500 0.500 0.254
Zr11 0.500 0.500 0.500
Zr12 0.500 0.500 0.746
Zn1 0.000 0.000 0.500



VASP calculation (GGA-PBE) on an optimized crystal structure of Mg14ZrZn.

Properties
relative energy among the computed polymorphs	0	kJ/mol of formula units
E	-2.008	eV per atom
volume	22.080	Å³/atom
magnetic moment	0.0	μB/cell

a b c (Å): 10.136 6.379 6.379
angles (deg): 58.94 90.00 90.00
Fractional positions:
Mg1 0.000 0.000 0.000
Mg2 0.000 0.002 0.497
Mg3 0.000 0.497 0.002
Mg4 0.000 0.499 0.499
Mg5 0.251 0.663 0.663
Mg6 0.256 0.169 0.665
Mg7 0.256 0.665 0.169
Mg8 0.265 0.159 0.159
Mg9 0.500 0.000 0.512
Mg10 0.500 0.512 0.000
Mg11 0.735 0.159 0.159
Mg12 0.744 0.169 0.665
Mg13 0.744 0.665 0.169
Mg14 0.749 0.663 0.663
Zr1 0.500 0.506 0.506
Zn1 0.500 0.994 0.994



VASP calculation (GGA-PBE) on an optimized crystal structure of Mg3Zr2Zn4.

Properties
E	-3.084	eV per atom
volume	18.823	Å³/atom
magnetic moment	0.0	μB/cell

a b c (Å): 8.671 8.671 7.276
angles (deg): 90.00 90.00 141.73
Fractional positions:
Mg1 0.000 0.000 0.000
Mg2 0.008 0.492 0.250
Mg3 0.492 0.008 0.750
Mg4 0.500 0.500 0.500
Mg5 0.508 0.992 0.250
Mg6 0.992 0.508 0.750
Zr1 0.088 0.912 0.393
Zr2 0.412 0.588 0.893
Zr3 0.588 0.412 0.107
Zr4 0.912 0.088 0.607
Zn1 0.157 0.843 0.024
Zn2 0.176 0.324 0.250
Zn3 0.324 0.176 0.750
Zn4 0.343 0.657 0.524
Zn5 0.657 0.343 0.476
Zn6 0.676 0.824 0.250
Zn7 0.824 0.676 0.750
Zn8 0.843 0.157 0.976



What did the fourth record say?
VASP calculation (GGA-PBE) on an optimized crystal structure of MgZr2Zn6.

Properties
relative energy among the computed polymorphs	59	kJ/mol of formula units
E	-3.089	eV per atom
volume	17.086	Å³/atom
magnetic moment	0.0	μB/cell

a b c (Å): 5.554 5.554 5.759
angles (deg): 90.05 90.05 59.94
Fractional positions:
Mg1 0.000 0.000 0.000
Zr1 0.333 0.333 0.873
Zr2 0.667 0.667 0.127
Zn1 0.180 0.180 0.337
Zn2 0.180 0.641 0.337
Zn3 0.359 0.820 0.663
Zn4 0.641 0.180 0.337
Zn5 0.820 0.359 0.663
Zn6 0.820 0.820 0.663